## Tm3Sb5O12 (PBEsol)

Data for a relaxed Tm3Sb5O12 crystal.

Values from the calculation:
- magnetization (μB/atom) = 0.00
- theoretical density (g/cm3) = 7.286
- uncorrected formation energy (meV/atom) = -2297

Lattice parameters (Å, degrees): 10.6031 10.6031 10.6031 90.00 90.00 90.00
With the nearest neighbours (Å) after each atom.
Space group I-43m (No. 217)
Unique sites:
Tm: 0.0000 0.2500 0.5000 x12  4 O 2.20
Sb: 0.0000 0.0000 0.2796 x12  4 O 1.98-2.19
Sb: 0.2390 0.2390 0.7610 x8  3 O 2.03
O: 0.1029 0.1029 0.6035 x24  1 Sb 1.98, 2 Tm 2.20
O: 0.1389 0.1389 0.3427 x24  2 Sb 2.03-2.19